# PrMg4Pb7 | the Alexandria database | GGA-PBE | optimized geometry
# volume = 725 Å³/cell
# E = -74.3 eV per cell
data_PrMg4Pb7
_chemical_formula_sum 'Pr2 Mg8 Pb14'
_symmetry_space_group_name_H-M 'C 1 2/m 1'
_symmetry_Int_Tables_number 12
_cell_length_a 13.5788
_cell_length_b 6.0336
_cell_length_c 10.6352
_cell_angle_alpha 90.00
_cell_angle_beta 123.64
_cell_angle_gamma 90.00
loop_
_symmetry_equiv_pos_as_xyz
'x,y,z'
'-x,-y,-z'
'-x,y,-z'
'x,-y,z'
'x+1/2,y+1/2,z'
'-x+1/2,-y+1/2,-z'
'-x+1/2,y+1/2,-z'
'x+1/2,-y+1/2,z'
loop_
_atom_site_label
_atom_site_type_symbol
_atom_site_fract_x
_atom_site_fract_y
_atom_site_fract_z
Pr1 Pr 0.0000 0.0000 0.0000
Mg1 Mg 0.0582 0.5000 0.7661
Mg2 Mg 0.2064 0.5000 0.3213
Pb1 Pb 0.0000 0.5000 0.0000
Pb2 Pb 0.0770 0.0000 0.3692
Pb3 Pb 0.1638 0.5000 0.5878
Pb4 Pb 0.2115 0.0000 0.8924

# Tb4TmPb5 | the Alexandria database | GGA-PBE | optimized geometry
# volume = 625 Å³/cell
# E = -89.7 eV per cell
data_Tb4TmPb5
_chemical_formula_sum 'Tb8 Tm2 Pb10'
_symmetry_space_group_name_H-M 'I 4'
_symmetry_Int_Tables_number 79
_cell_length_a 9.9584
_cell_length_b 9.9584
_cell_length_c 6.2984
_cell_angle_alpha 90.00
_cell_angle_beta 90.00
_cell_angle_gamma 90.00
loop_
_symmetry_equiv_pos_as_xyz
'x,y,z'
'-y,x,z'
'-x,-y,z'
'y,-x,z'
'x+1/2,y+1/2,z+1/2'
'-y+1/2,x+1/2,z+1/2'
'-x+1/2,-y+1/2,z+1/2'
'y+1/2,-x+1/2,z+1/2'
loop_
_atom_site_label
_atom_site_type_symbol
_atom_site_fract_x
_atom_site_fract_y
_atom_site_fract_z
Tb1 Tb 0.0982 0.6990 0.0000
Tm1 Tm 0.0000 0.0000 0.5027
Pb1 Pb 0.0000 0.0000 0.0031
Pb2 Pb 0.1006 0.7029 0.4999

# Cu2MoAu | the Alexandria database | GGA-PBE | optimized geometry
# volume = 121 Å³/cell
# energy relative to the lowest polymorph listed for this composition = 230 meV per atom
# E = -41.7 eV per cell
data_Cu2MoAu
_chemical_formula_sum 'Cu4 Mo2 Au2'
_symmetry_space_group_name_H-M 'I m m m'
_symmetry_Int_Tables_number 71
_symmetry_space_group_name_Hall '-I 2 2'
_cell_length_a 2.6807
_cell_length_b 4.8751
_cell_length_c 9.2804
_cell_angle_alpha 90.00
_cell_angle_beta 90.00
_cell_angle_gamma 90.00
loop_
_atom_site_label
_atom_site_type_symbol
_atom_site_fract_x
_atom_site_fract_y
_atom_site_fract_z
Cu1 Cu 0.0000 0.0000 0.2481
Mo1 Mo 0.0000 0.5000 0.5000
Au1 Au 0.0000 0.5000 0.0000

# Hf2AsC | the Alexandria database | GGA-PBE | optimized geometry
# volume = 329 Å³/cell
# E = -141.7 eV per cell
data_Hf2AsC
_chemical_formula_sum 'Hf8 As4 C4'
_symmetry_space_group_name_H-M 'I -4 2 d'
_symmetry_Int_Tables_number 122
_symmetry_space_group_name_Hall 'I -4 2bw'
_cell_length_a 5.6365
_cell_length_b 5.6365
_cell_length_c 10.3490
_cell_angle_alpha 90.00
_cell_angle_beta 90.00
_cell_angle_gamma 90.00
loop_
_atom_site_label
_atom_site_type_symbol
_atom_site_fract_x
_atom_site_fract_y
_atom_site_fract_z
Hf1 Hf 0.1784 0.2500 0.1250
As1 As 0.0000 0.0000 0.5000
C1 C 0.0000 0.0000 0.0000

# K4Rb2BeAs2 | the Alexandria database | GGA-PBE | optimized geometry
# volume = 1013 Å³/cell
# E = -42.4 eV per cell
data_K4Rb2BeAs2
_chemical_formula_sum 'K8 Rb4 Be2 As4'
_symmetry_space_group_name_H-M 'C 1 2/m 1'
_symmetry_Int_Tables_number 12
_cell_length_a 15.6893
_cell_length_b 12.6121
_cell_length_c 5.3338
_cell_angle_alpha 90.00
_cell_angle_beta 106.35
_cell_angle_gamma 90.00
loop_
_symmetry_equiv_pos_as_xyz
'x,y,z'
'-x,-y,-z'
'-x,y,-z'
'x,-y,z'
'x+1/2,y+1/2,z'
'-x+1/2,-y+1/2,-z'
'-x+1/2,y+1/2,-z'
'x+1/2,-y+1/2,z'
loop_
_atom_site_label
_atom_site_type_symbol
_atom_site_fract_x
_atom_site_fract_y
_atom_site_fract_z
K1 K 0.1184 0.1558 0.4515
Rb1 Rb 0.1486 0.5000 0.8995
Be1 Be 0.0000 0.0000 0.0000
As1 As 0.1289 0.0000 0.9610

# ZrZnAu | the Alexandria database | GGA-PBE | optimized geometry
# volume = 267 Å³/cell
# E = -51.8 eV per cell
data_ZrZnAu
_chemical_formula_sum 'Zr4 Zn4 Au4'
_symmetry_space_group_name_H-M 'F -4 3 m'
_symmetry_Int_Tables_number 216
_symmetry_space_group_name_Hall 'F -4 2 3'
_cell_length_a 6.4358
_cell_length_b 6.4358
_cell_length_c 6.4358
_cell_angle_alpha 90.00
_cell_angle_beta 90.00
_cell_angle_gamma 90.00
loop_
_atom_site_label
_atom_site_type_symbol
_atom_site_fract_x
_atom_site_fract_y
_atom_site_fract_z
Zr1 Zr 0.0000 0.0000 0.0000
Zn1 Zn 0.2500 0.2500 0.2500
Au1 Au 0.2500 0.2500 0.7500

# KPb2F2 | the Alexandria database | GGA-PBE | optimized geometry
# volume = 269 Å³/cell
# energy relative to the lowest polymorph listed for this composition = 0 meV per atom
# raw formation energy = -1.189 eV per atom
# E = -36.4 eV per cell
data_KPb2F2
_chemical_formula_sum 'K2 Pb4 F4'
_symmetry_space_group_name_H-M 'I 4/m m m'
_symmetry_Int_Tables_number 139
_symmetry_space_group_name_Hall '-I 4 2'
_cell_length_a 5.1117
_cell_length_b 5.1117
_cell_length_c 10.2898
_cell_angle_alpha 90.00
_cell_angle_beta 90.00
_cell_angle_gamma 90.00
loop_
_atom_site_label
_atom_site_type_symbol
_atom_site_fract_x
_atom_site_fract_y
_atom_site_fract_z
K1 K 0.0000 0.0000 0.0000
Pb1 Pb 0.0000 0.0000 0.3343
F1 F 0.0000 0.5000 0.2500

# KBiRh2 | the Alexandria database | GGA-PBE | optimized geometry
# volume = 404 Å³/cell
# E = -70.2 eV per cell
data_KBiRh2
_chemical_formula_sum 'K4 Bi4 Rh8'
_symmetry_space_group_name_H-M 'I -4 2 d'
_symmetry_Int_Tables_number 122
_symmetry_space_group_name_Hall 'I -4 2bw'
_cell_length_a 7.8401
_cell_length_b 7.8401
_cell_length_c 6.5666
_cell_angle_alpha 90.00
_cell_angle_beta 90.00
_cell_angle_gamma 90.00
loop_
_atom_site_label
_atom_site_type_symbol
_atom_site_fract_x
_atom_site_fract_y
_atom_site_fract_z
K1 K 0.0000 0.0000 0.0000
Bi1 Bi 0.0000 0.0000 0.5000
Rh1 Rh 0.1902 0.2500 0.6250

Question: volume of number 5 (K4Rb2BeAs2)?
Answer: 1013 Å³/cell